Crystalline K4Na4NbW7O24 at its relaxed geometry. Source: Alexandria via LeMat-Bulk, functional GGA+U.

Summary:
Total magnetic moment   5.0 μB per formula unit
N(E_F)   1.5 states/eV per cell
Energy   -6.807 eV/atom

```
data_K4Na4NbW7O24
_chemical_formula_sum 'K4 Na4 Nb1 W7 O24'
_symmetry_space_group_name_H-M 'P 4 m m'
_symmetry_Int_Tables_number 99
_cell_length_a 8.017
_cell_length_b 8.017
_cell_length_c 8.010
_cell_angle_alpha 90.00
_cell_angle_beta 90.00
_cell_angle_gamma 90.00
loop_
_symmetry_equiv_pos_as_xyz
'x,y,z'
'-y,x,z'
'-x,-y,z'
'y,-x,z'
'-x,y,z'
'y,x,z'
'x,-y,z'
'-y,-x,z'
loop_
_atom_site_label
_atom_site_fract_x
_atom_site_fract_y
_atom_site_fract_z
K1 0.249 0.249 0.000
Na1 0.246 0.246 0.498
Nb1 0.000 0.000 0.253
W1 0.000 0.000 0.748
W2 0.000 0.500 0.251
W3 0.000 0.500 0.746
W4 0.500 0.500 0.252
W5 0.500 0.500 0.748
O1 0.000 0.000 0.501
O2 0.000 0.000 0.995
O3 0.000 0.250 0.743
O4 0.000 0.252 0.254
O5 0.000 0.500 0.006
O6 0.000 0.500 0.493
O7 0.244 0.500 0.255
O8 0.245 0.500 0.745
O9 0.500 0.500 0.012
O10 0.500 0.500 0.490
```